Record 1
# Sm2DySe3, optimized geometry, DFT PBE-GGA
data_Sm2DySe3
_symmetry_space_group_name_H-M 'I m m m'
_symmetry_Int_Tables_number 71
_symmetry_space_group_name_Hall '-I 2 2'
_cell_length_a 4.1524
_cell_length_b 5.8428
_cell_length_c 12.4144
_cell_angle_alpha 90.00
_cell_angle_beta 90.00
_cell_angle_gamma 90.00
loop_
_atom_site_label
_atom_site_type_symbol
_atom_site_fract_x
_atom_site_fract_y
_atom_site_fract_z
Sm1 Sm 0.0000 0.0000 0.1709
Dy1 Dy 0.0000 0.0000 0.5000
Se1 Se 0.0000 0.5000 0.1607
Se2 Se 0.0000 0.5000 0.5000
# formation energy from raw total energies = -10.75 eV per formula unit
# total magnetization = 0.000 μB/f.u.

Record 2
# SmDy4Se6, optimized geometry, DFT PBE-GGA
data_SmDy4Se6
_symmetry_space_group_name_H-M 'C m c m'
_symmetry_Int_Tables_number 63
_symmetry_space_group_name_Hall '-C 2c 2'
_cell_length_a 4.0143
_cell_length_b 13.3966
_cell_length_c 20.7917
_cell_angle_alpha 90.00
_cell_angle_beta 90.00
_cell_angle_gamma 90.00
loop_
_atom_site_label
_atom_site_type_symbol
_atom_site_fract_x
_atom_site_fract_y
_atom_site_fract_z
Sm1 Sm 0.0000 0.1535 0.2500
Dy1 Dy 0.0000 0.0899 0.6265
Dy2 Dy 0.0000 0.3596 0.5381
Se1 Se 0.0000 0.0000 0.0000
Se2 Se 0.0000 0.1863 0.7500
Se3 Se 0.0000 0.2684 0.0906
Se4 Se 0.0000 0.4488 0.6655
# formation energy from raw total energies = -20.14 eV per formula unit
# total magnetization = 0.000 μB/f.u.

Record 3
# Sm2Dy2Se3, optimized geometry, DFT PBE-GGA
data_Sm2Dy2Se3
_symmetry_space_group_name_H-M 'C 1 2/m 1'
_symmetry_Int_Tables_number 12
_symmetry_space_group_name_Hall '-C 2y'
_cell_length_a 15.5230
_cell_length_b 4.0209
_cell_length_c 6.1520
_cell_angle_alpha 90.00
_cell_angle_beta 92.60
_cell_angle_gamma 90.00
loop_
_atom_site_label
_atom_site_type_symbol
_atom_site_fract_x
_atom_site_fract_y
_atom_site_fract_z
Sm1 Sm 0.1622 0.0000 0.2566
Dy1 Dy 0.0648 0.5000 0.7301
Se1 Se 0.0000 0.0000 0.0000
Se2 Se 0.1992 0.0000 0.7415
# formation energy from raw total energies = -10.07 eV per formula unit
# total magnetization = 0.405 μB/f.u.

Record 4
# Sr2SmDySe4, optimized geometry, DFT PBE-GGA
data_Sr2SmDySe4
_symmetry_space_group_name_H-M 'P 1 2/m 1'
_symmetry_Int_Tables_number 10
_symmetry_space_group_name_Hall '-P 2y'
_cell_length_a 7.3249
_cell_length_b 4.2320
_cell_length_c 7.4997
_cell_angle_alpha 90.00
_cell_angle_beta 109.02
_cell_angle_gamma 90.00
loop_
_atom_site_label
_atom_site_type_symbol
_atom_site_fract_x
_atom_site_fract_y
_atom_site_fract_z
Sr1 Sr 0.0000 0.0000 0.0000
Sr2 Sr 0.5000 0.5000 0.0000
Sm1 Sm 0.0000 0.5000 0.5000
Dy1 Dy 0.5000 0.0000 0.5000
Se1 Se 0.2496 0.0000 0.7352
Se2 Se 0.2600 0.5000 0.2677
# formation energy from raw total energies = -15.15 eV per formula unit
# total magnetization = 0.000 μB/f.u.

Record 5
# Sr3Sm2DySe6, optimized geometry, DFT PBE-GGA
data_Sr3Sm2DySe6
_symmetry_space_group_name_H-M 'C 1 2/m 1'
_symmetry_Int_Tables_number 12
_symmetry_space_group_name_Hall '-C 2y'
_cell_length_a 7.3499
_cell_length_b 12.7152
_cell_length_c 7.5098
_cell_angle_alpha 90.00
_cell_angle_beta 109.06
_cell_angle_gamma 90.00
loop_
_atom_site_label
_atom_site_type_symbol
_atom_site_fract_x
_atom_site_fract_y
_atom_site_fract_z
Sr1 Sr 0.0000 0.0000 0.0000
Sr2 Sr 0.0000 0.3317 0.0000
Sm1 Sm 0.0000 0.1661 0.5000
Dy1 Dy 0.0000 0.5000 0.5000
Se1 Se 0.2420 0.3360 0.7345
Se2 Se 0.2491 0.5000 0.2642
# formation energy from raw total energies = -22.81 eV per formula unit
# total magnetization = 0.000 μB/f.u.

Record 6
# TbSmDy2Se4, optimized geometry, DFT PBE-GGA
data_TbSmDy2Se4
_symmetry_space_group_name_H-M 'P 1 2/m 1'
_symmetry_Int_Tables_number 10
_symmetry_space_group_name_Hall '-P 2y'
_cell_length_a 7.1371
_cell_length_b 4.0499
_cell_length_c 7.1484
_cell_angle_alpha 90.00
_cell_angle_beta 108.80
_cell_angle_gamma 90.00
loop_
_atom_site_label
_atom_site_type_symbol
_atom_site_fract_x
_atom_site_fract_y
_atom_site_fract_z
Tb1 Tb 0.0000 0.0000 0.0000
Sm1 Sm 0.5000 0.5000 0.0000
Dy1 Dy 0.0000 0.5000 0.5000
Dy2 Dy 0.5000 0.0000 0.5000
Se1 Se 0.2446 0.0000 0.7432
Se2 Se 0.2484 0.5000 0.2544
# formation energy from raw total energies = -14.16 eV per formula unit
# total magnetization = 0.000 μB/f.u.